No. 1
# HgPbIO2 (PBE, optimized geometry)
# * electronic total energy: -2.8701 eV/atom
# * excess energy over the best structure of this formula in the dataset: 362.6 meV per atom
# * E_form (uncorrected): 1.1 eV per formula unit
# * size of the total moment: 0.0 μB per formula unit
# * volume: 112 Å³/f.u.
data_HgPbIO2
_symmetry_space_group_name_H-M 'P 4/m m m'
_symmetry_Int_Tables_number 123
_symmetry_space_group_name_Hall '-P 4 2'
_cell_length_a 4.486
_cell_length_b 4.486
_cell_length_c 5.545
_cell_angle_alpha 90.00
_cell_angle_beta 90.00
_cell_angle_gamma 90.00
loop_
_atom_site_label
_atom_site_type_symbol
_atom_site_fract_x
_atom_site_fract_y
_atom_site_fract_z
_atom_site_occupancy
Hg1 Hg 0.000 0.000 0.000 1
Pb1 Pb 0.500 0.500 0.500 1
I1 I 0.000 0.000 0.500 1
O1 O 0.000 0.500 0.000 1



No. 2
# NbC3N (PBE, optimized geometry)
# * electronic total energy: -6.7513 eV/atom
# * excess energy over the best structure of this formula in the dataset: 0.0 meV per atom
# * E_form (uncorrected): 12.3 eV per formula unit
# * size of the total moment: 0.0 μB per formula unit
# * volume: 43 Å³/f.u.
data_NbC3N
_symmetry_space_group_name_H-M 'P m -3 m'
_symmetry_Int_Tables_number 221
_symmetry_space_group_name_Hall '-P 4 2 3'
_cell_length_a 3.498
_cell_length_b 3.498
_cell_length_c 3.498
_cell_angle_alpha 90.00
_cell_angle_beta 90.00
_cell_angle_gamma 90.00
loop_
_atom_site_label
_atom_site_type_symbol
_atom_site_fract_x
_atom_site_fract_y
_atom_site_fract_z
_atom_site_occupancy
Nb1 Nb 0.000 0.000 0.000 1
C1 C 0.000 0.500 0.500 1
N1 N 0.500 0.500 0.500 1



No. 3
# RbPrCuO2 (PBE, optimized geometry)
# * electronic total energy: -5.5043 eV/atom
# * E_form (uncorrected): -7.8 eV per formula unit
# * size of the total moment: 0.0 μB per formula unit
# * volume: 121 Å³/f.u.
data_RbPrCuO2
_symmetry_space_group_name_H-M 'P 1 2/c 1'
_symmetry_Int_Tables_number 13
_symmetry_space_group_name_Hall '-P 2yc'
_cell_length_a 6.295
_cell_length_b 5.359
_cell_length_c 7.171
_cell_angle_alpha 90.00
_cell_angle_beta 90.13
_cell_angle_gamma 90.00
loop_
_atom_site_label
_atom_site_type_symbol
_atom_site_fract_x
_atom_site_fract_y
_atom_site_fract_z
_atom_site_occupancy
Rb1 Rb 0.000 0.003 0.250 1
Pr1 Pr 0.500 0.500 0.250 1
Cu1 Cu 0.500 0.000 0.000 1
O1 O 0.333 0.288 0.500 1



No. 4
# Th3As2Ru (PBE, optimized geometry)
# * electronic total energy: -7.8185 eV/atom
# * size of the total moment: 0.0 μB per formula unit
# * volume: 160 Å³/f.u.
# * calculated formation energy: -1013 meV per atom
data_Th3As2Ru
_symmetry_space_group_name_H-M 'I m m m'
_symmetry_Int_Tables_number 71
_symmetry_space_group_name_Hall '-I 2 2'
_cell_length_a 4.111
_cell_length_b 6.013
_cell_length_c 12.907
_cell_angle_alpha 90.00
_cell_angle_beta 90.00
_cell_angle_gamma 90.00
loop_
_atom_site_label
_atom_site_type_symbol
_atom_site_fract_x
_atom_site_fract_y
_atom_site_fract_z
_atom_site_occupancy
Th1 Th 0.000 0.000 0.000 1
Th2 Th 0.000 0.000 0.348 1
As1 As 0.000 0.500 0.326 1
Ru1 Ru 0.000 0.500 0.000 1



No. 5
# PaNb2H (PBE, optimized geometry)
# * electronic total energy: -7.7384 eV/atom
# * excess energy over the best structure of this formula in the dataset: 0.0 meV per atom
# * size of the total moment: 0.0 μB per formula unit
# * volume: 71 Å³/f.u.
data_PaNb2H
_symmetry_space_group_name_H-M 'R -3 m'
_symmetry_Int_Tables_number 166
_symmetry_space_group_name_Hall '-R 3 2"'
_cell_length_a 2.9403
_cell_length_b 2.9403
_cell_length_c 28.4476
_cell_angle_alpha 90.00
_cell_angle_beta 90.00
_cell_angle_gamma 120.00
loop_
_atom_site_label
_atom_site_type_symbol
_atom_site_fract_x
_atom_site_fract_y
_atom_site_fract_z
_atom_site_occupancy
Pa1 Pa 0.0000 0.0000 0.0000 1
Nb1 Nb 0.0000 0.0000 0.4366 1
H1 H 0.0000 0.0000 0.5000 1



No. 6
# Nd4NiPd (PBE, optimized geometry)
# * electronic total energy: -5.2806 eV/atom
# * excess energy over the best structure of this formula in the dataset: 45.4 meV per atom
# * size of the total moment: 0.0 μB per formula unit
# * volume: 177 Å³/f.u.
# * calculated formation energy: -273 meV per atom
data_Nd4NiPd
_symmetry_space_group_name_H-M 'C 1 2/c 1'
_symmetry_Int_Tables_number 15
_symmetry_space_group_name_Hall '-C 2yc'
_cell_length_a 9.176
_cell_length_b 14.343
_cell_length_c 7.016
_cell_angle_alpha 90.00
_cell_angle_beta 129.92
_cell_angle_gamma 90.00
loop_
_atom_site_label
_atom_site_type_symbol
_atom_site_fract_x
_atom_site_fract_y
_atom_site_fract_z
_atom_site_occupancy
Nd1 Nd 0.172 0.217 0.172 1
Nd2 Nd 0.248 0.033 0.747 1
Ni1 Ni 0.000 0.089 0.250 1
Pd1 Pd 0.000 0.376 0.750 1



No. 7
# SrGePd4 (PBE, optimized geometry)
# * electronic total energy: -5.0329 eV/atom
# * excess energy over the best structure of this formula in the dataset: 3.5 meV per atom
# * size of the total moment: 0.0 μB per formula unit
# * volume: 117 Å³/f.u.
# * calculated formation energy: -521 meV per atom
data_SrGePd4
_symmetry_space_group_name_H-M 'C 1 2/m 1'
_symmetry_Int_Tables_number 12
_symmetry_space_group_name_Hall '-C 2y'
_cell_length_a 10.326
_cell_length_b 7.126
_cell_length_c 6.763
_cell_angle_alpha 90.00
_cell_angle_beta 109.38
_cell_angle_gamma 90.00
loop_
_atom_site_label
_atom_site_type_symbol
_atom_site_fract_x
_atom_site_fract_y
_atom_site_fract_z
_atom_site_occupancy
Sr1 Sr 0.168 0.000 0.277 1
Ge1 Ge 0.088 0.500 0.261 1
Pd1 Pd 0.000 0.293 0.500 1
Pd2 Pd 0.117 0.305 0.938 1
Pd3 Pd 0.174 0.000 0.736 1



No. 8
# CdOs2Cl (PBE, optimized geometry)
# * electronic total energy: -6.0641 eV/atom
# * excess energy over the best structure of this formula in the dataset: 0.0 meV per atom
# * E_form (uncorrected): 1.0 eV per formula unit
# * size of the total moment: 0.0 μB per formula unit
# * volume: 71 Å³/f.u.
data_CdOs2Cl
_symmetry_space_group_name_H-M 'P 1 m 1'
_symmetry_Int_Tables_number 6
_symmetry_space_group_name_Hall 'P -2y'
_cell_length_a 2.930
_cell_length_b 2.918
_cell_length_c 8.275
_cell_angle_alpha 90.00
_cell_angle_beta 90.10
_cell_angle_gamma 90.00
loop_
_atom_site_label
_atom_site_type_symbol
_atom_site_fract_x
_atom_site_fract_y
_atom_site_fract_z
_atom_site_occupancy
Cd1 Cd 0.000 0.000 0.000 1
Os1 Os 0.002 0.000 0.439 1
Os2 Os 0.501 0.500 0.249 1
Cl1 Cl 0.003 0.500 0.683 1



> Look up the electronic total energy of the fifth one.

-7.7384 eV/atom